Record 1
# PmNdYTm2 (PBE, relaxed)
data_PmNdYTm2
_chemical_formula_sum 'Pm4 Nd4 Y4 Tm8'
_symmetry_space_group_name_H-M 'C m c m'
_symmetry_Int_Tables_number 63
_symmetry_space_group_name_Hall '-C 2c 2'
_cell_length_a 8.370
_cell_length_b 11.528
_cell_length_c 7.181
_cell_angle_alpha 90.00
_cell_angle_beta 90.00
_cell_angle_gamma 90.00
loop_
_atom_site_label
_atom_site_type_symbol
_atom_site_fract_x
_atom_site_fract_y
_atom_site_fract_z
Pm1 Pm 0.000 0.010 0.250
Nd1 Nd 0.000 0.278 0.250
Y1 Y 0.000 0.274 0.750
Tm1 Tm 0.187 0.500 0.000
# formation energy	0.375	eV per atom
# theoretical density	6.864	g/cm³
# E	-4.6097	eV per atom

Record 2
# NdCuRu (PBE, relaxed)
data_NdCuRu
_chemical_formula_sum 'Nd4 Cu4 Ru4'
_symmetry_space_group_name_H-M 'I m m a'
_symmetry_Int_Tables_number 74
_symmetry_space_group_name_Hall '-I 2b 2'
_cell_length_a 5.250
_cell_length_b 5.272
_cell_length_c 7.908
_cell_angle_alpha 90.00
_cell_angle_beta 90.00
_cell_angle_gamma 90.00
loop_
_atom_site_label
_atom_site_type_symbol
_atom_site_fract_x
_atom_site_fract_y
_atom_site_fract_z
Nd1 Nd 0.000 0.250 0.129
Cu1 Cu 0.250 0.250 0.750
Ru1 Ru 0.000 0.000 0.500
# formation energy	-0.183	eV per atom
# theoretical density	9.374	g/cm³
# excess energy over the best structure of this formula in the dataset	0.0	meV per atom
# E	-6.2299	eV per atom

Record 3
# La2BiAs2 (PBE, relaxed)
data_La2BiAs2
_chemical_formula_sum 'La4 Bi2 As4'
_symmetry_space_group_name_H-M 'I 4/m m m'
_symmetry_Int_Tables_number 139
_symmetry_space_group_name_Hall '-I 4 2'
_cell_length_a 5.907
_cell_length_b 5.907
_cell_length_c 8.715
_cell_angle_alpha 90.00
_cell_angle_beta 90.00
_cell_angle_gamma 90.00
loop_
_atom_site_label
_atom_site_type_symbol
_atom_site_fract_x
_atom_site_fract_y
_atom_site_fract_z
La1 La 0.000 0.500 0.250
Bi1 Bi 0.000 0.000 0.000
As1 As 0.000 0.000 0.345
# formation energy	-0.958	eV per atom
# theoretical density	6.954	g/cm³
# excess energy over the best structure of this formula in the dataset	120.4	meV per atom
# E	-5.5654	eV per atom

Record 4
# HoErScIn (PBE, relaxed)
data_HoErScIn
_chemical_formula_sum 'Ho1 Er1 Sc1 In1'
_symmetry_space_group_name_H-M 'P m m m'
_symmetry_Int_Tables_number 47
_cell_length_a 4.701
_cell_length_b 4.723
_cell_length_c 4.727
_cell_angle_alpha 90.00
_cell_angle_beta 90.00
_cell_angle_gamma 90.00
loop_
_symmetry_equiv_pos_as_xyz
'x,y,z'
'-x,-y,-z'
'-x,-y,z'
'x,y,-z'
'x,-y,-z'
'-x,y,z'
'-x,y,-z'
'x,-y,z'
loop_
_atom_site_label
_atom_site_type_symbol
_atom_site_fract_x
_atom_site_fract_y
_atom_site_fract_z
Ho1 Ho 0.000 0.000 0.000
Er1 Er 0.000 0.500 0.500
Sc1 Sc 0.500 0.500 0.000
In1 In 0.500 0.000 0.500
# formation energy	-0.258	eV per atom
# theoretical density	7.784	g/cm³
# excess energy over the best structure of this formula in the dataset	0.0	meV per atom
# E	-4.8105	eV per atom